VASP calculation (GGA-PBE) on a geometry-optimized TlCuSnS2 structure.

It has space group P2/c (No. 13), with a = 7.005 Å, b = 5.002 Å, c = 7.911 Å, α = 90.00°, β = 90.06° and γ = 90.00°. The asymmetric unit holds Tl at (0.000, 0.147, 0.250), Cu at (0.500, 0.000, 0.000), Sn at (0.500, 0.420, 0.250) and S at (0.270, 0.262, 0.918).

The density of states at the Fermi level is 0.11 states/eV/f.u. For the volume, the calculation gives 277.2 Å³ per cell. Its energy relative to the elements, uncorrected is -0.263 eV/atom. The final energy is -4.007 eV/atom.